Here is an optimized crystal structure of Cs4Rb2Co2O5 from OQMD via LeMat-Bulk. Energies are from PBE with a Hubbard U.

The structure belongs to space group Cm (No. 8); the cell edges are 7.284, 12.006 and 7.135 Å and the angles 90.00°, 94.54° and 90.00°. The inequivalent atoms are Cs at (0.000, 0.000, 0.000), Cs at (0.161, 0.255, 0.320), Cs at (0.314, 0.000, 0.629), Rb at (0.165, 0.286, 0.818), Co at (0.356, 0.500, 0.493), Co at (0.467, 0.000, 0.110), O at (0.195, 0.500, 0.280), O at (0.377, 0.136, 0.039) and O at (0.458, 0.372, 0.612).

For the total energy, the calculation gives -4.223 eV/atom. As for the energy above the lowest structure with this stoichiometry: 0.0 meV per atom.